VASP calculation (PBE) on a relaxed KHfAgSeS2 crystal.

Summary:
Energy relative to the lowest polymorph listed for this composition ... 0.00 eV per formula unit
Size of the total moment ... 0.000 μB per formula unit

```
data_KHfAgSeS2
_symmetry_space_group_name_H-M 'P 1 21/m 1'
_symmetry_Int_Tables_number 11
_cell_length_a 8.176
_cell_length_b 3.849
_cell_length_c 9.865
_cell_angle_alpha 90.00
_cell_angle_beta 109.83
_cell_angle_gamma 90.00
loop_
_symmetry_equiv_pos_as_xyz
'x,y,z'
'-x,-y,-z'
'-x,y+1/2,-z'
'x,-y+1/2,z'
loop_
_atom_site_label
_atom_site_type_symbol
_atom_site_fract_x
_atom_site_fract_y
_atom_site_fract_z
K1 K 0.243 0.250 0.268
Hf1 Hf 0.317 0.750 0.847
Ag1 Ag 0.070 0.250 0.608
Se1 Se 0.282 0.750 0.569
S1 S 0.117 0.250 0.872
S2 S 0.456 0.750 0.126
```